(1)
DFT (PBE) results for a relaxed Nd4ZnSe2S crystal.

As for the total energy: -0.398 Ry per atom. The calculation puts the theoretical density at 6.6 g/cm³.

Lattice parameters (Å, degrees): 7.312 4.139 7.354 90.00 108.82 90.00
Fractional positions:
Nd 0.242 0.000 0.240
Nd 0.248 0.500 0.753
Nd 0.752 0.500 0.247
Nd 0.758 0.000 0.760
Zn 0.500 0.000 0.000
Se 0.000 0.000 0.500
Se 0.500 0.500 0.500
S 0.000 0.500 0.000


(2)
DFT (PBE) results for a relaxed BeAlCd crystal.

The calculation puts the calculated formation energy at 317 meV per atom. The energy above the lowest structure with this stoichiometry is 71 meV/atom. The calculation puts the theoretical density at 5.1 g/cm³.

Lattice parameters (Å, degrees): 6.273 6.273 6.273 153.80 153.80 37.39
Fractional positions:
Be 0.000 0.000 0.000
Al 0.371 0.371 0.000
Cd 0.663 0.663 0.000


(3)
DFT (PBE) results for a relaxed CrCoHg2 crystal.

The calculation puts the calculated formation energy at 367 meV per atom. The energy above the lowest structure with this stoichiometry is 0 meV/atom. The calculation puts the theoretical density at 12.3 g/cm³.

Lattice parameters (Å, degrees): 3.003 2.918 8.048 90.00 100.54 90.00
Fractional positions:
Cr 0.000 0.000 0.000
Co 0.426 0.500 0.849
Hg 0.628 0.500 0.262
Hg 0.808 0.000 0.608


(4)
DFT (PBE) results for a relaxed PmGaIr4 crystal.

The calculation puts the calculated formation energy at -286 meV per atom. The calculation puts the theoretical density at 15.3 g/cm³.

Lattice parameters (Å, degrees): 5.320 5.320 5.320 60.00 60.00 60.00
Fractional positions:
Pm 0.000 0.000 0.000
Ga 0.250 0.250 0.250
Ir 0.127 0.624 0.624
Ir 0.624 0.127 0.624
Ir 0.624 0.624 0.127
Ir 0.624 0.624 0.624


(5)
DFT (PBE) results for a relaxed BTePbO6 crystal.

As for the total energy: -0.441 Ry per atom. The calculation puts the theoretical density at 4.8 g/cm³.

Lattice parameters (Å, degrees): 5.321 5.664 6.105 74.20 69.34 64.13
Fractional positions:
B 0.000 0.000 0.000
Te 0.534 0.900 0.920
Pb 0.292 0.587 0.547
O 0.123 0.097 0.105
O 0.221 0.859 0.817
O 0.541 0.603 0.165
O 0.558 0.177 0.665
O 0.719 0.019 0.077
O 0.832 0.635 0.732


(6)
DFT (PBE) results for a relaxed Th2Ge5Pt3 crystal.

The calculation puts the calculated formation energy at -737 meV per atom. The calculation puts the theoretical density at 11.8 g/cm³.

Lattice parameters (Å, degrees): 12.391 12.391 7.326 90.00 90.00 159.38
Fractional positions:
Th 0.021 0.979 0.500
Th 0.325 0.675 0.506
Th 0.675 0.325 0.006
Th 0.979 0.021 0.000
Ge 0.103 0.897 0.839
Ge 0.204 0.796 0.328
Ge 0.212 0.788 0.736
Ge 0.380 0.620 0.994
Ge 0.449 0.551 0.677
Ge 0.551 0.449 0.177
Ge 0.620 0.380 0.494
Ge 0.788 0.212 0.236
Ge 0.796 0.204 0.828
Ge 0.897 0.103 0.339
Pt 0.107 0.893 0.213
Pt 0.277 0.723 0.047
Pt 0.449 0.551 0.302
Pt 0.551 0.449 0.802
Pt 0.723 0.277 0.547
Pt 0.893 0.107 0.713


(7)
DFT (PBE) results for a relaxed RbLi2Hg2 crystal.

The calculation puts the calculated formation energy at -144 meV per atom. The energy above the lowest structure with this stoichiometry is 39 meV/atom. The calculation puts the theoretical density at 6.1 g/cm³.

Lattice parameters (Å, degrees): 9.018 9.018 3.325 90.00 90.00 90.00
Fractional positions:
Rb 0.000 0.000 0.000
Rb 0.500 0.500 0.000
Li 0.132 0.368 0.500
Li 0.368 0.868 0.500
Li 0.632 0.132 0.500
Li 0.868 0.632 0.500
Hg 0.142 0.642 0.000
Hg 0.358 0.142 0.000
Hg 0.642 0.858 0.000
Hg 0.858 0.358 0.000


(8)
DFT (PBE) results for a relaxed Sm2Y3Ho7 crystal.

The calculation puts the calculated formation energy at 86 meV per atom. The energy above the lowest structure with this stoichiometry is 8 meV/atom. The calculation puts the theoretical density at 7.4 g/cm³.

Lattice parameters (Å, degrees): 5.771 3.586 18.638 90.00 93.52 90.00
Fractional positions:
Sm 0.206 0.000 0.294
Sm 0.794 0.000 0.706
Y 0.000 0.000 0.000
Y 0.280 0.500 0.631
Y 0.720 0.500 0.369
Ho 0.184 0.500 0.143
Ho 0.242 0.000 0.462
Ho 0.314 0.000 0.825
Ho 0.500 0.500 0.000
Ho 0.686 0.000 0.175
Ho 0.758 0.000 0.538
Ho 0.816 0.500 0.857


(9)
DFT (PBE) results for a relaxed Pm5PrNdY2 crystal.

The calculation puts the calculated formation energy at 143 meV per atom. The calculation puts the theoretical density at 6.3 g/cm³.

Lattice parameters (Å, degrees): 10.595 10.595 10.732 90.00 90.00 148.56
Fractional positions:
Pm 0.018 0.982 0.500
Pm 0.282 0.718 0.783
Pm 0.296 0.704 0.179
Pm 0.393 0.607 0.501
Pm 0.477 0.523 0.214
Pm 0.523 0.477 0.714
Pm 0.607 0.393 0.001
Pm 0.704 0.296 0.679
Pm 0.718 0.282 0.283
Pm 0.982 0.018 0.000
Pr 0.415 0.585 0.925
Pr 0.585 0.415 0.425
Nd 0.204 0.796 0.484
Nd 0.796 0.204 0.984
Y 0.112 0.888 0.207
Y 0.117 0.883 0.800
Y 0.883 0.117 0.300
Y 0.888 0.112 0.707


(10)
DFT (PBE) results for a relaxed TbAlPd6 crystal.

The calculation puts the calculated formation energy at -730 meV per atom. The energy above the lowest structure with this stoichiometry is 0 meV/atom. The calculation puts the theoretical density at 10.5 g/cm³.

Lattice parameters (Å, degrees): 4.057 4.057 7.920 90.00 90.00 90.00
Fractional positions:
Tb 0.000 0.000 0.000
Al 0.000 0.000 0.500
Pd 0.000 0.500 0.269
Pd 0.000 0.500 0.731
Pd 0.500 0.000 0.269
Pd 0.500 0.000 0.731
Pd 0.500 0.500 0.000
Pd 0.500 0.500 0.500


(11)
DFT (PBE) results for a relaxed ScMo3 crystal.

The calculation puts the calculated formation energy at 81 meV per atom. The calculation puts the theoretical density at 8.1 g/cm³.

Lattice parameters (Å, degrees): 3.178 3.178 6.762 90.00 90.00 90.00
Fractional positions:
Sc 0.000 0.000 0.000
Mo 0.000 0.000 0.500
Mo 0.500 0.500 0.276
Mo 0.500 0.500 0.724


(12)
DFT (PBE) results for a relaxed CdRe2O8 crystal.

As for the total energy: -0.543 Ry per atom. The calculation puts the theoretical density at 4.6 g/cm³.

Lattice parameters (Å, degrees): 6.772 6.772 5.696 102.17 102.17 60.45
Fractional positions:
Cd 0.000 0.000 0.000
Re 0.183 0.183 0.668
Re 0.817 0.817 0.332
O 0.071 0.662 0.197
O 0.123 0.123 0.348
O 0.335 0.335 0.724
O 0.338 0.929 0.803
O 0.662 0.071 0.197
O 0.665 0.665 0.276
O 0.877 0.877 0.652
O 0.929 0.338 0.803


Please write out number 7 again, unchanged.
DFT (PBE) results for a relaxed RbLi2Hg2 crystal.

The calculation puts the calculated formation energy at -144 meV per atom. The energy above the lowest structure with this stoichiometry is 39 meV/atom. The calculation puts the theoretical density at 6.1 g/cm³.

Lattice parameters (Å, degrees): 9.018 9.018 3.325 90.00 90.00 90.00
Fractional positions:
Rb 0.000 0.000 0.000
Rb 0.500 0.500 0.000
Li 0.132 0.368 0.500
Li 0.368 0.868 0.500
Li 0.632 0.132 0.500
Li 0.868 0.632 0.500
Hg 0.142 0.642 0.000
Hg 0.358 0.142 0.000
Hg 0.642 0.858 0.000
Hg 0.858 0.358 0.000


What is the theoretical density in the seventh record?
6.1 g/cm³


Among the records above, which one has the highest theoretical density?
PmGaIr4


theoretical density of number 1 (Nd4ZnSe2S)?
6.6 g/cm³